# 1
# LuCdCu (PBE, optimized geometry)
data_LuCdCu
_chemical_formula_sum 'Lu1 Cd1 Cu1'
_space_group_name_H-M_alt 'P 1'
_space_group_IT_number 1
_cell_length_a 4.611
_cell_length_b 4.611
_cell_length_c 4.611
_cell_angle_alpha 60.00
_cell_angle_beta 60.00
_cell_angle_gamma 60.00
loop_
_space_group_symop_operation_xyz
'x,y,z'
loop_
_atom_site_label
_atom_site_fract_x
_atom_site_fract_y
_atom_site_fract_z
Cd1 0.000 0.000 0.000
Cu1 0.250 0.250 0.250
Lu1 0.750 0.750 0.750
# SG = No. 216
# E_tot = -8.49 eV per cell
# density = 8.41 Mg/m³

---

# 2
# LuCdCu (PBE, optimized geometry)
data_LuCdCu
_chemical_formula_sum 'Lu1 Cd1 Cu1'
_space_group_name_H-M_alt 'P 1'
_space_group_IT_number 1
_cell_length_a 4.672
_cell_length_b 4.672
_cell_length_c 4.672
_cell_angle_alpha 60.00
_cell_angle_beta 60.00
_cell_angle_gamma 60.00
loop_
_space_group_symop_operation_xyz
'x,y,z'
loop_
_atom_site_label
_atom_site_fract_x
_atom_site_fract_y
_atom_site_fract_z
Cd1 0.250 0.250 0.250
Cu1 0.750 0.750 0.750
Lu1 0.000 0.000 0.000
# SG = No. 216
# E_tot = -8.11 eV per cell
# density = 8.08 Mg/m³

---

# 3
# LuCdCuS3 (PBE, optimized geometry)
data_LuCdCuS3
_chemical_formula_sum 'Lu2 Cd2 Cu2 S6'
_space_group_name_H-M_alt 'P 1'
_space_group_IT_number 1
_cell_length_a 7.337
_cell_length_b 3.773
_cell_length_c 8.857
_cell_angle_alpha 90.00
_cell_angle_beta 101.56
_cell_angle_gamma 90.00
loop_
_space_group_symop_operation_xyz
'x,y,z'
loop_
_atom_site_label
_atom_site_fract_x
_atom_site_fract_y
_atom_site_fract_z
Cd1 0.228 0.250 0.282
Cd2 0.772 0.750 0.718
Cu1 0.907 0.750 0.423
Cu2 0.093 0.250 0.577
Lu1 0.688 0.250 0.171
Lu2 0.312 0.750 0.829
S1 0.415 0.750 0.145
S2 0.935 0.750 0.166
S3 0.740 0.250 0.477
S4 0.260 0.750 0.523
S5 0.065 0.250 0.834
S6 0.585 0.250 0.855
# SG = No. 11
# E_tot = -55.20 eV per cell
# ΔE to the lowest computed polymorph = 0.0000 eV per atom
# density = 6.18 Mg/m³

---

# 4
# LuCdCuS3 (PBE, optimized geometry)
data_LuCdCuS3
_chemical_formula_sum 'Lu2 Cd2 Cu2 S6'
_space_group_name_H-M_alt 'P 1'
_space_group_IT_number 1
_cell_length_a 6.466
_cell_length_b 6.466
_cell_length_c 10.164
_cell_angle_alpha 90.00
_cell_angle_beta 90.00
_cell_angle_gamma 146.33
loop_
_space_group_symop_operation_xyz
'x,y,z'
loop_
_atom_site_label
_atom_site_fract_x
_atom_site_fract_y
_atom_site_fract_z
Cd1 0.739 0.261 0.250
Cd2 0.261 0.739 0.750
Cu1 0.022 0.978 0.250
Cu2 0.978 0.022 0.750
Lu1 0.500 0.500 0.000
Lu2 0.500 0.500 0.500
S1 0.140 0.860 0.075
S2 0.404 0.596 0.250
S3 0.140 0.860 0.425
S4 0.860 0.140 0.575
S5 0.596 0.404 0.750
S6 0.860 0.140 0.925
# SG = No. 63
# E_tot = -55.06 eV per cell
# ΔE to the lowest computed polymorph = 0.0114 eV per atom
# density = 6.30 Mg/m³

---

# 5
# LuCdCuTe3 (PBE, optimized geometry)
data_LuCdCuTe3
_chemical_formula_sum 'Lu2 Cd2 Cu2 Te6'
_space_group_name_H-M_alt 'P 1'
_space_group_IT_number 1
_cell_length_a 8.226
_cell_length_b 4.137
_cell_length_c 9.917
_cell_angle_alpha 90.00
_cell_angle_beta 102.45
_cell_angle_gamma 90.00
loop_
_space_group_symop_operation_xyz
'x,y,z'
loop_
_atom_site_label
_atom_site_fract_x
_atom_site_fract_y
_atom_site_fract_z
Cd1 0.777 0.750 0.212
Cd2 0.223 0.250 0.788
Cu1 0.073 0.250 0.079
Cu2 0.927 0.750 0.921
Lu1 0.312 0.750 0.328
Lu2 0.688 0.250 0.672
Te1 0.260 0.750 0.021
Te2 0.057 0.250 0.344
Te3 0.590 0.250 0.354
Te4 0.410 0.750 0.646
Te5 0.943 0.750 0.656
Te6 0.740 0.250 0.979
# SG = No. 11
# E_tot = -44.29 eV per cell
# ΔE to the lowest computed polymorph = 0.0000 eV per atom
# density = 7.39 Mg/m³

---

# 6
# LuCdCuTe3 (PBE, optimized geometry)
data_LuCdCuTe3
_chemical_formula_sum 'Lu2 Cd2 Cu2 Te6'
_space_group_name_H-M_alt 'P 1'
_space_group_IT_number 1
_cell_length_a 7.368
_cell_length_b 7.368
_cell_length_c 11.067
_cell_angle_alpha 90.00
_cell_angle_beta 90.00
_cell_angle_gamma 147.75
loop_
_space_group_symop_operation_xyz
'x,y,z'
loop_
_atom_site_label
_atom_site_fract_x
_atom_site_fract_y
_atom_site_fract_z
Cd1 0.233 0.767 0.250
Cd2 0.767 0.233 0.750
Cu1 0.525 0.475 0.250
Cu2 0.475 0.525 0.750
Lu1 0.000 0.000 0.000
Lu2 0.000 0.000 0.500
Te1 0.645 0.355 0.069
Te2 0.903 0.097 0.250
Te3 0.645 0.355 0.431
Te4 0.355 0.645 0.569
Te5 0.097 0.903 0.750
Te6 0.355 0.645 0.931
# SG = No. 63
# E_tot = -44.16 eV per cell
# ΔE to the lowest computed polymorph = 0.0109 eV per atom
# density = 7.60 Mg/m³

---

# 7
# LuZnCdCu (PBE, optimized geometry)
data_LuZnCdCu
_chemical_formula_sum 'Lu1 Zn1 Cd1 Cu1'
_space_group_name_H-M_alt 'P 1'
_space_group_IT_number 1
_cell_length_a 4.694
_cell_length_b 4.694
_cell_length_c 4.694
_cell_angle_alpha 60.00
_cell_angle_beta 60.00
_cell_angle_gamma 60.00
loop_
_space_group_symop_operation_xyz
'x,y,z'
loop_
_atom_site_label
_atom_site_fract_x
_atom_site_fract_y
_atom_site_fract_z
Cd1 0.500 0.500 0.500
Cu1 0.750 0.750 0.750
Lu1 0.250 0.250 0.250
Zn1 0.000 0.000 0.000
# SG = No. 216
# E_tot = -10.89 eV per cell
# ΔE to the lowest computed polymorph = 0.0314 eV per atom
# density = 9.45 Mg/m³

---

# 8
# LuZnCdCu (PBE, optimized geometry)
data_LuZnCdCu
_chemical_formula_sum 'Lu1 Zn1 Cd1 Cu1'
_space_group_name_H-M_alt 'P 1'
_space_group_IT_number 1
_cell_length_a 4.693
_cell_length_b 4.693
_cell_length_c 4.693
_cell_angle_alpha 60.00
_cell_angle_beta 60.00
_cell_angle_gamma 60.00
loop_
_space_group_symop_operation_xyz
'x,y,z'
loop_
_atom_site_label
_atom_site_fract_x
_atom_site_fract_y
_atom_site_fract_z
Cd1 0.250 0.250 0.250
Cu1 0.750 0.750 0.750
Lu1 0.500 0.500 0.500
Zn1 0.000 0.000 0.000
# SG = No. 216
# E_tot = -11.02 eV per cell
# ΔE to the lowest computed polymorph = 0.0000 eV per atom
# density = 9.46 Mg/m³

---

# 9
# Mg2CdCu (PBE, optimized geometry)
data_Mg2CdCu
_chemical_formula_sum 'Mg2 Cd1 Cu1'
_space_group_name_H-M_alt 'P 1'
_space_group_IT_number 1
_cell_length_a 4.638
_cell_length_b 4.638
_cell_length_c 4.638
_cell_angle_alpha 60.00
_cell_angle_beta 60.00
_cell_angle_gamma 60.00
loop_
_space_group_symop_operation_xyz
'x,y,z'
loop_
_atom_site_label
_atom_site_fract_x
_atom_site_fract_y
_atom_site_fract_z
Cd1 0.250 0.250 0.250
Cu1 0.000 0.000 0.000
Mg1 0.500 0.500 0.500
Mg2 0.750 0.750 0.750
# SG = No. 216
# E_tot = -7.75 eV per cell
# density = 5.28 Mg/m³

---

# 10
# MgCdCuPb (PBE, optimized geometry)
data_MgCdCuPb
_chemical_formula_sum 'Mg1 Cd1 Cu1 Pb1'
_space_group_name_H-M_alt 'P 1'
_space_group_IT_number 1
_cell_length_a 4.917
_cell_length_b 4.917
_cell_length_c 4.917
_cell_angle_alpha 60.00
_cell_angle_beta 60.00
_cell_angle_gamma 60.00
loop_
_space_group_symop_operation_xyz
'x,y,z'
loop_
_atom_site_label
_atom_site_fract_x
_atom_site_fract_y
_atom_site_fract_z
Cd1 0.500 0.500 0.500
Cu1 0.750 0.750 0.750
Mg1 0.250 0.250 0.250
Pb1 0.000 0.000 0.000
# SG = No. 216
# E_tot = -9.32 eV per cell
# ΔE to the lowest computed polymorph = 0.0000 eV per atom
# density = 8.05 Mg/m³

---

# 11
# Y3Mg3CdCuPd (PBE, optimized geometry)
data_Y3Mg3CdCuPd
_chemical_formula_sum 'Y3 Mg3 Cd1 Cu1 Pd1'
_space_group_name_H-M_alt 'P 1'
_space_group_IT_number 1
_cell_length_a 7.633
_cell_length_b 7.633
_cell_length_c 4.024
_cell_angle_alpha 90.00
_cell_angle_beta 90.00
_cell_angle_gamma 120.00
loop_
_space_group_symop_operation_xyz
'x,y,z'
loop_
_atom_site_label
_atom_site_fract_x
_atom_site_fract_y
_atom_site_fract_z
Cd1 0.000 0.000 0.000
Cu1 0.667 0.333 0.500
Mg1 0.427 0.094 0.000
Mg2 0.906 0.332 0.000
Mg3 0.668 0.573 0.000
Pd1 0.333 0.667 0.000
Y1 0.270 0.355 0.500
Y2 0.085 0.730 0.500
Y3 0.645 0.915 0.500
# SG = No. 174
# E_tot = -37.40 eV per cell
# density = 5.09 Mg/m³

---

# 12
# Y3Mg3CdCuPt (PBE, optimized geometry)
data_Y3Mg3CdCuPt
_chemical_formula_sum 'Y3 Mg3 Cd1 Cu1 Pt1'
_space_group_name_H-M_alt 'P 1'
_space_group_IT_number 1
_cell_length_a 7.678
_cell_length_b 7.678
_cell_length_c 3.992
_cell_angle_alpha 90.00
_cell_angle_beta 90.00
_cell_angle_gamma 120.00
loop_
_space_group_symop_operation_xyz
'x,y,z'
loop_
_atom_site_label
_atom_site_fract_x
_atom_site_fract_y
_atom_site_fract_z
Cd1 0.000 0.000 0.000
Cu1 0.667 0.333 0.500
Mg1 0.426 0.092 0.000
Mg2 0.908 0.334 0.000
Mg3 0.666 0.574 0.000
Pt1 0.333 0.667 0.000
Y1 0.271 0.360 0.500
Y2 0.088 0.729 0.500
Y3 0.640 0.912 0.500
# SG = No. 174
# E_tot = -39.18 eV per cell
# density = 5.79 Mg/m³

---

# 13
# Mg2Sc2TlCdCu2 (PBE, optimized geometry)
data_Mg2Sc2TlCdCu2
_chemical_formula_sum 'Mg2 Sc2 Tl1 Cd1 Cu2'
_space_group_name_H-M_alt 'P 1'
_space_group_IT_number 1
_cell_length_a 4.769
_cell_length_b 4.769
_cell_length_c 6.695
_cell_angle_alpha 90.00
_cell_angle_beta 90.00
_cell_angle_gamma 90.00
loop_
_space_group_symop_operation_xyz
'x,y,z'
loop_
_atom_site_label
_atom_site_fract_x
_atom_site_fract_y
_atom_site_fract_z
Cd1 0.500 0.500 0.500
Cu1 0.500 0.500 0.000
Cu2 0.000 0.000 0.500
Mg1 0.500 0.000 0.257
Mg2 0.000 0.500 0.743
Sc1 0.000 0.500 0.252
Sc2 0.500 0.000 0.748
Tl1 0.000 0.000 0.000
# SG = No. 115
# E_tot = -27.99 eV per cell
# density = 6.35 Mg/m³